A plane-wave DFT calculation with GGA+U was carried out for a relaxed structure of NpMn2FeO6.

Space-group type: No. 1
Calculated volume in Å³ per cell: 122
Energy in eV per cell: -81.47

a b c (Å): 5.320 5.343 5.876
angles (deg): 62.16 62.06 60.37
Site moments in Bohr magnetons follow the coordinates.
Element x y z (fractional)
Mn (0.526, 0.523, 0.414)  4.57
Mn (0.015, 0.008, 0.972)  1.05
O (0.931, 0.605, 0.242)  -0.03
O (0.719, 0.112, 0.769)  -0.03
O (0.202, 0.926, 0.257)  -0.02
O (0.113, 0.408, 0.762)  -0.01
O (0.608, 0.216, 0.242)  -0.01
O (0.415, 0.726, 0.765)  -0.03
Np (0.322, 0.322, 0.030)  1.52
Fe (0.810, 0.815, 0.563)  3.74